# 1
Cu2AuCl: relaxed, PBE.

## Properties
* energy relative to the lowest polymorph listed for this composition: 42.1 meV/atom
* space-group type: Pmm2, No. 25
* ΔE_f (raw): -58.2 meV/atom

Cell lengths 3.269, 4.046, 5.978 Å; angles 90.00, 90.00, 90.00 degrees
Positions (direct):
Cu (0.000, 0.000, 0.000)
Cu (0.500, 0.000, 0.337)
Au (0.000, 0.500, 0.269)
Cl (0.500, 0.000, 0.728)

=====

# 2
LiCaPmGa: relaxed, PBE.

## Properties
* DFT total energy: -3.205 eV per atom
* space-group type: F-43m, No. 216

Cell lengths 5.252, 5.252, 5.252 Å; angles 60.00, 60.00, 60.00 degrees
Positions (direct):
Li (0.000, 0.000, 0.000)
Ca (0.750, 0.750, 0.750)
Pm (0.250, 0.250, 0.250)
Ga (0.500, 0.500, 0.500)

=====

# 3
CdBi2Au2: relaxed, PBE.

## Properties
* energy relative to the lowest polymorph listed for this composition: 0.0 meV/atom
* space-group type: P2_1/m, No. 11

Cell lengths 5.815, 4.512, 10.054 Å; angles 90.00, 91.87, 90.00 degrees
Positions (direct):
Cd (0.107, 0.250, 0.292)
Cd (0.893, 0.750, 0.708)
Bi (0.259, 0.250, 0.961)
Bi (0.371, 0.250, 0.633)
Bi (0.629, 0.750, 0.367)
Bi (0.741, 0.750, 0.039)
Au (0.172, 0.750, 0.477)
Au (0.240, 0.750, 0.144)
Au (0.760, 0.250, 0.856)
Au (0.828, 0.250, 0.523)

=====

# 4
BaAgIr2: relaxed, PBE.

## Properties
* energy relative to the lowest polymorph listed for this composition: 542.2 meV/atom
* space-group type: P2/m, No. 10

Cell lengths 2.984, 4.804, 6.178 Å; angles 90.00, 100.72, 90.00 degrees
Positions (direct):
Ba (0.000, 0.000, 0.000)
Ag (0.500, 0.000, 0.500)
Ir (0.311, 0.500, 0.676)
Ir (0.689, 0.500, 0.324)